DFT (PBE with a Hubbard U) results for a geometry-optimized CaCrBiO5 structure.

## Properties
M_tot   8.0 Bohr magnetons per cell
Symmetry   No. 61
ΔE to the lowest computed polymorph   0.00 eV/f.u.

POSCAR file:
```
CaCrBiO5
1.0
5.536 0.000 0.000
0.000 15.578 0.000
0.000 0.000 11.352
Ca Cr Bi O
8 8 8 40
Direct
0.007 0.053 0.142
0.007 0.447 0.642
0.493 0.553 0.142
0.493 0.947 0.642
0.507 0.053 0.358
0.507 0.447 0.858
0.993 0.553 0.358
0.993 0.947 0.858
0.014 0.098 0.595
0.014 0.402 0.095
0.486 0.598 0.595
0.486 0.902 0.095
0.514 0.098 0.905
0.514 0.402 0.405
0.986 0.598 0.905
0.986 0.902 0.405
0.051 0.733 0.155
0.051 0.767 0.655
0.449 0.233 0.155
0.449 0.267 0.655
0.551 0.733 0.345
0.551 0.767 0.845
0.949 0.233 0.345
0.949 0.267 0.845
0.053 0.199 0.666
0.053 0.301 0.166
0.133 0.531 0.814
0.133 0.969 0.314
0.166 0.623 0.029
0.166 0.877 0.529
0.206 0.569 0.544
0.206 0.931 0.044
0.238 0.151 0.267
0.238 0.349 0.767
0.262 0.651 0.267
0.262 0.849 0.767
0.294 0.069 0.544
0.294 0.431 0.044
0.334 0.123 0.029
0.334 0.377 0.529
0.367 0.031 0.814
0.367 0.469 0.314
0.447 0.699 0.666
0.447 0.801 0.166
0.553 0.199 0.834
0.553 0.301 0.334
0.633 0.531 0.686
0.633 0.969 0.186
0.666 0.623 0.471
0.666 0.877 0.971
0.706 0.569 0.956
0.706 0.931 0.456
0.738 0.151 0.233
0.738 0.349 0.733
0.762 0.651 0.233
0.762 0.849 0.733
0.794 0.069 0.956
0.794 0.431 0.456
0.834 0.123 0.471
0.834 0.377 0.971
0.867 0.031 0.686
0.867 0.469 0.186
0.947 0.699 0.834
0.947 0.801 0.334
```